# BaMg14C

BaMg14C after structural relaxation (PBE, Alexandria).

Cell: 6.6033 6.6033 10.1666 Å, 90.00 90.00 120.00°
Last column: nearest neighbours and their distance in Å.
Sites, in units of the cell vectors:
Mg (0.1542, 0.8458, 0.7048)  1 C 2.73, 4 Mg 2.93-3.06
Mg (0.5141, 0.0282, 0.5000)  8 Mg 2.93-3.18
Mg (0.6667, 0.3333, 0.7614)  12 Mg 3.15-3.35
Mg (0.6915, 0.8458, 0.2952)  1 C 2.73, 4 Mg 2.93-3.06
Mg (0.0192, 0.5096, 0.0000)  4 Mg 3.11-3.15, 2 Ba 3.30
Mg (0.1542, 0.3085, 0.2952)  1 C 2.73, 4 Mg 2.93-3.06
Mg (0.6667, 0.3333, 0.2386)  12 Mg 3.15-3.35
Mg (0.1542, 0.8458, 0.2952)  1 C 2.73, 4 Mg 2.93-3.06
Mg (0.9718, 0.4859, 0.5000)  8 Mg 2.93-3.18
Mg (0.4904, 0.5096, 0.0000)  4 Mg 3.11-3.15, 2 Ba 3.30
Mg (0.5141, 0.4859, 0.5000)  8 Mg 2.93-3.18
Mg (0.6915, 0.8458, 0.7048)  1 C 2.73, 4 Mg 2.93-3.06
Mg (0.1542, 0.3085, 0.7048)  1 C 2.73, 4 Mg 2.93-3.06
Mg (0.4904, 0.9808, 0.0000)  4 Mg 3.11-3.15, 2 Ba 3.30
Ba (0.0000, 0.0000, 0.0000)  12 Mg 3.30-3.48
C (0.0000, 0.0000, 0.5000)  6 Mg 2.73

energy of formation from the pure elements: 5.597 eV/f.u.
Fermi-level density of states: 12.6 states/eV per cell
space-group type: P-6m2 (187)
calculated density: 2.12 g/cm3
energy above the lowest structure with this stoichiometry: 92 meV/atom